Compound: Bi3Pd2
Source: Alexandria via LeMat-Bulk
Functional: GGA-PBE
Structure: relaxed

Calculated values
The total energy comes out at -46.2 eV per cell. The size of the total moment is 0.0000 μB/atom. Its calculated density is 10.679 g cm⁻³.

abc: 7.254 7.261 7.085
angles: 59.41 59.21 60.03
Positions (direct):
Pd: 0.666 0.663 0.505
Pd: 0.166 0.163 0.005
Pd: 0.334 0.337 0.495
Pd: 0.834 0.837 0.995
Bi: 0.749 0.412 0.246
Bi: 0.251 0.588 0.754
Bi: 0.408 0.088 0.254
Bi: 0.592 0.912 0.746
Bi: 0.909 0.250 0.750
Bi: 0.091 0.750 0.250